No. 1
# NiRu2Pb

An optimized crystal structure of NiRu2Pb (PBE, Alexandria via LeMat-Bulk).

Cell and atoms, written as POSCAR:
```
NiRu2Pb
1.0
3.695 0.000 0.000
0.000 2.921 -0.005
0.000 2.922 5.873
Ni Pb Ru
1 1 2
direct
0.000 0.527 0.474
0.500 0.766 0.734
0.000 0.954 0.045
0.500 0.253 0.247
```

mass density = 12.25 g/cm3
DFT total energy = -6.61 eV/atom
E_form = 1.59 eV per formula unit
size of the total moment = 0.0 μB/f.u.
symmetry = Pm, No. 6

No. 2
# NiRu2Pb

An optimized crystal structure of NiRu2Pb (PBE, Alexandria via LeMat-Bulk).

Cell and atoms, written as POSCAR:
```
NiRu2Pb
1.0
-0.927 2.954 0.213
-0.455 -0.362 3.048
6.191 1.861 1.145
Ni Pb Ru
1 1 2
direct
0.500 0.500 0.250
0.500 0.500 0.750
0.000 0.000 0.048
0.000 0.000 0.452
```

mass density = 12.29 g/cm3
DFT total energy = -6.51 eV/atom
E_form = 1.99 eV per formula unit
size of the total moment = 0.0 μB/f.u.
symmetry = P4/mmm, No. 123

No. 3
# Ni2RuPb

An optimized crystal structure of Ni2RuPb (PBE, Alexandria via LeMat-Bulk).

Cell and atoms, written as POSCAR:
```
Ni2RuPb
1.0
4.588 -0.001 0.007
3.571 2.882 0.007
0.856 0.302 4.638
Ni Pb Ru
2 1 1
direct
0.009 0.009 0.954
0.491 0.491 0.546
0.250 0.250 0.250
0.750 0.750 0.750
```

mass density = 11.53 g/cm3
DFT total energy = -5.74 eV/atom
E_form = 1.60 eV per formula unit
size of the total moment = 0.6 μB/f.u.
symmetry = C2/m, No. 12

No. 4
# NiRuPb2

An optimized crystal structure of NiRuPb2 (PBE, Alexandria via LeMat-Bulk).

Cell and atoms, written as POSCAR:
```
NiRuPb2
1.0
5.459 0.009 0.008
4.180 3.512 0.008
-0.007 -0.002 4.088
Ni Pb Ru
1 2 1
direct
0.301 0.301 0.125
0.025 0.025 0.125
0.730 0.730 0.625
0.444 0.444 0.625
```

mass density = 12.19 g/cm3
DFT total energy = -5.33 eV/atom
E_form = 1.14 eV per formula unit
size of the total moment = 0.0 μB/f.u.
symmetry = Amm2, No. 38